(1)
Compound: CrSnSe2
Source: Alexandria
Functional: PBE
Structure: optimized geometry

POSCAR file:
```
CrSnSe2
1.0
12.129 0.000 0.000
0.000 5.511 0.000
0.000 0.000 5.820
Cr Sn Se
4 4 8
Cartesian
0.000 0.578 0.000 Cr
0.000 4.933 2.910 Cr
6.064 2.177 2.910 Cr
6.064 3.334 0.000 Cr
0.000 2.214 2.298 Sn
0.000 3.297 5.208 Sn
6.064 0.542 5.208 Sn
6.064 4.970 2.298 Sn
1.725 0.870 4.049 Se
1.725 4.641 1.139 Se
4.340 1.885 1.139 Se
4.340 3.626 4.049 Se
7.789 1.885 1.139 Se
7.789 3.626 4.049 Se
10.404 0.870 4.049 Se
10.404 4.641 1.139 Se
```

Properties
Calculated total energy (eV for the cell shown): -86.2
Formation energy without anion corrections (eV per atom): -0.2367
Volume (A^3/atom): 24.32
Space-group type: Cmc2_1, No. 36


(2)
Compound: Ga2RhC
Source: Alexandria
Functional: PBE
Structure: optimized geometry

POSCAR file:
```
Ga2RhC
1.0
6.382 0.000 0.000
0.000 6.382 0.000
0.000 0.000 5.202
Ga Rh C
8 4 4
Cartesian
1.112 1.595 0.650 Ga
1.595 4.303 1.951 Ga
1.595 5.270 4.552 Ga
2.079 1.595 3.251 Ga
4.303 4.786 3.251 Ga
4.786 1.112 4.552 Ga
4.786 2.079 1.951 Ga
5.270 4.786 0.650 Ga
0.000 0.000 2.601 Rh
0.000 3.191 3.902 Rh
3.191 0.000 1.301 Rh
3.191 3.191 0.000 Rh
0.000 0.000 0.000 C
0.000 3.191 1.301 C
3.191 0.000 3.902 C
3.191 3.191 2.601 C
```

Properties
Calculated total energy (eV for the cell shown): -82.9
Volume (A^3/atom): 13.24
Space-group type: I-42d, No. 122
Formation energy (kJ per mole of atoms): 46.0


(3)
Compound: Fe2PbI6
Source: Alexandria
Functional: PBE
Structure: optimized geometry

POSCAR file:
```
Fe2PbI6
1.0
7.765 -7.140 0.000
7.765 7.140 0.000
-2.458 0.000 7.240
Fe Pb I
4 2 12
Cartesian
5.542 5.962 4.234 Fe
6.301 5.962 6.626 Fe
6.771 -5.962 0.614 Fe
7.530 -5.962 3.006 Fe
5.922 1.077 5.430 Pb
7.151 -1.077 1.810 Pb
1.616 0.857 1.046 I
4.996 3.735 3.223 I
0.387 -0.857 4.666 I
5.722 0.999 0.031 I
9.305 3.735 0.397 I
4.493 -0.999 3.650 I
8.579 0.999 3.589 I
3.767 -3.735 6.842 I
7.350 -0.999 7.209 I
12.685 0.857 2.574 I
8.076 -3.735 4.017 I
11.456 -0.857 6.194 I
```

Properties
Calculated total energy (eV for the cell shown): -64.5
Formation energy without anion corrections (eV per atom): -0.2595
Volume (A^3/atom): 44.60
Space-group type: C2/c, No. 15


(4)
Compound: TmBi2RhO8
Source: Alexandria
Functional: PBE
Structure: optimized geometry

POSCAR file:
```
TmBi2RhO8
1.0
4.938 0.000 0.000
0.000 6.789 0.000
-0.076 0.000 4.952
Tm Bi Rh O
1 2 1 8
Cartesian
0.000 0.000 0.000 Tm
2.431 1.738 2.476 Bi
2.431 5.051 2.476 Bi
0.000 3.395 0.000 Rh
0.953 1.816 0.877 O
0.953 4.973 0.877 O
1.291 3.395 3.476 O
1.451 0.000 3.365 O
3.411 0.000 1.587 O
3.571 3.395 1.477 O
3.909 1.816 4.075 O
3.909 4.973 4.075 O
```

Properties
Calculated total energy (eV for the cell shown): -75.8
Formation energy without anion corrections (eV per atom): -1.3785
Volume (A^3/atom): 13.84
Space-group type: P2/m, No. 10


(5)
Compound: Br3Cl
Source: Alexandria
Functional: PBE
Structure: optimized geometry

POSCAR file:
```
Br3Cl
1.0
3.709 0.000 0.000
0.000 3.709 0.000
0.000 0.000 7.341
Br Cl
3 1
Cartesian
0.000 0.000 0.000 Br
1.854 1.854 1.798 Br
1.854 1.854 5.543 Br
0.000 0.000 3.671 Cl
```

Properties
Calculated total energy (eV for the cell shown): -4.1
Formation energy without anion corrections (eV per atom): 0.6970
Volume (A^3/atom): 25.25
Space-group type: P4/mmm, No. 123


(6)
Compound: Sr2YIr
Source: Alexandria
Functional: PBE
Structure: optimized geometry

POSCAR file:
```
Sr2YIr
1.0
10.849 0.000 0.000
0.000 10.849 0.000
0.000 0.000 5.390
Sr Y Ir
8 4 4
Cartesian
1.210 2.712 0.674 Sr
2.712 6.634 2.021 Sr
2.712 9.639 4.716 Sr
4.215 2.712 3.369 Sr
6.634 8.137 3.369 Sr
8.137 1.210 4.716 Sr
8.137 4.215 2.021 Sr
9.639 8.137 0.674 Sr
0.000 0.000 2.695 Y
0.000 5.424 4.042 Y
5.424 0.000 1.347 Y
5.424 5.424 0.000 Y
0.000 0.000 0.000 Ir
0.000 5.424 1.347 Ir
5.424 0.000 4.042 Ir
5.424 5.424 2.695 Ir
```

Properties
Calculated total energy (eV for the cell shown): -75.0
Energy relative to the lowest polymorph listed for this composition (meV per atom): 277
Volume (A^3/atom): 39.65
Space-group type: I-42d, No. 122
Formation energy (kJ per mole of atoms): -1.5


(7)
Compound: Na3HfZn
Source: Alexandria
Functional: PBE
Structure: optimized geometry

POSCAR file:
```
Na3HfZn
1.0
5.359 0.000 0.000
0.000 5.359 0.000
0.000 0.000 5.359
Na Hf Zn
3 1 1
Cartesian
0.000 0.000 2.679 Na
0.000 2.679 0.000 Na
2.679 0.000 0.000 Na
2.679 2.679 2.679 Hf
0.000 0.000 0.000 Zn
```

Properties
Calculated total energy (eV for the cell shown): -10.2
Energy relative to the lowest polymorph listed for this composition (meV per atom): 0
Volume (A^3/atom): 30.78
Space-group type: Pm-3m, No. 221
Formation energy (kJ per mole of atoms): 97.0


(8)
Compound: CaLa2Ru
Source: Alexandria
Functional: PBE
Structure: optimized geometry

POSCAR file:
```
CaLa2Ru
1.0
4.219 0.000 0.000
0.000 5.064 0.000
0.000 0.000 5.134
Ca La Ru
1 2 1
Cartesian
0.000 0.000 0.000 Ca
2.110 0.000 2.567 La
2.110 2.532 0.000 La
0.000 2.532 2.567 Ru
```

Properties
Calculated total energy (eV for the cell shown): -20.3
Energy relative to the lowest polymorph listed for this composition (meV per atom): 404
Volume (A^3/atom): 27.42
Space-group type: Pmmm, No. 47
Formation energy (kJ per mole of atoms): 19.0


(9)
Compound: Pm2Er8In
Source: Alexandria
Functional: PBE
Structure: optimized geometry

POSCAR file:
```
Pm2Er8In
1.0
8.963 -2.462 0.000
8.963 2.462 0.000
-2.062 0.000 7.547
Pm Er In
2 8 1
Cartesian
3.700 0.000 1.018 Pm
12.163 0.000 6.529 Pm
0.330 0.000 1.693 Er
1.001 0.000 5.085 Er
4.508 0.000 4.459 Er
7.250 0.000 0.421 Er
8.613 0.000 7.126 Er
11.355 0.000 3.088 Er
14.863 0.000 2.462 Er
15.534 0.000 5.854 Er
7.932 0.000 3.773 In
```

Properties
Calculated total energy (eV for the cell shown): -49.4
Volume (A^3/atom): 30.28
Space-group type: C2/m, No. 12
Formation energy (kJ per mole of atoms): -5.7


(10)
Compound: BaScP2
Source: Alexandria
Functional: PBE
Structure: optimized geometry

POSCAR file:
```
BaScP2
1.0
13.776 0.000 0.000
0.000 3.850 0.000
-0.492 0.000 3.896
Ba Sc P
2 2 4
Cartesian
0.000 0.000 0.000 Ba
6.888 1.925 0.000 Ba
3.222 0.000 1.723 Sc
10.110 1.925 1.723 Sc
1.409 1.925 2.237 P
3.215 1.925 3.612 P
8.297 0.000 2.237 P
10.103 0.000 3.612 P
```

Properties
Calculated total energy (eV for the cell shown): -44.8
Energy relative to the lowest polymorph listed for this composition (meV per atom): 154
Volume (A^3/atom): 25.83
Space-group type: Cm, No. 8
Formation energy (kJ per mole of atoms): -80.5


(11)
Compound: CaAgPd2Au
Source: Alexandria
Functional: PBE
Structure: optimized geometry

POSCAR file:
```
CaAgPd2Au
1.0
4.911 0.000 0.000
0.000 4.911 0.000
0.000 0.000 5.245
Ca Ag Pd Au
1 1 2 1
Cartesian
0.000 0.000 0.000 Ca
2.455 2.455 2.623 Ag
0.000 2.455 0.000 Pd
2.455 0.000 0.000 Pd
0.000 0.000 2.623 Au
```

Properties
Calculated total energy (eV for the cell shown): -15.0
Volume (A^3/atom): 25.30
Space-group type: P4/mmm, No. 123
Formation energy (kJ per mole of atoms): 68.0


(12)
Compound: SrCa8Ir2
Source: Alexandria
Functional: PBE
Structure: optimized geometry

POSCAR file:
```
SrCa8Ir2
1.0
10.846 -2.125 0.000
10.846 2.125 0.000
-3.668 0.000 8.177
Sr Ca Ir
1 8 2
Cartesian
0.000 0.000 0.000 Sr
0.705 0.000 3.989 Ca
0.602 0.000 7.671 Ca
3.724 0.000 5.698 Ca
8.614 0.000 2.341 Ca
9.411 0.000 5.836 Ca
14.301 0.000 2.479 Ca
17.424 0.000 0.506 Ca
17.321 0.000 4.188 Ca
5.587 0.000 2.345 Ir
12.438 0.000 5.832 Ir
```

Properties
Calculated total energy (eV for the cell shown): -37.6
Volume (A^3/atom): 34.26
Space-group type: C2/m, No. 12
Formation energy (kJ per mole of atoms): -19.2